[1]
BaGeBr2: relaxed, PBE.

Summary:
- E_form (uncorrected): -815.9 meV per atom
- E_tot: -3.29 eV per atom
- Distance to the lowest polymorph of the same formula: 0.07 eV per formula unit
- ρ: 4.22 Mg/m³
- DOS at the Fermi energy: 2.8 states/eV/f.u.

Cell: 5.412 5.412 10.654 Å, 75.29 75.29 90.00°
Fractional positions:
Ge: 0.250 0.750 0.500
Ge: 0.500 0.500 0.000
Br: 0.375 0.410 0.750
Br: 0.160 0.625 0.250
Br: 0.875 0.840 0.750
Br: 0.590 0.125 0.250
Ba: 0.000 0.000 0.000
Ba: 0.750 0.250 0.500

=====

[2]
MoP2: relaxed, PBE.

Summary:
- E_tot: -7.36 eV per atom
- ρ: 5.34 Mg/m³
- DFT formation energy: -0.15 eV per atom
- DOS at the Fermi energy: 2.6 states/eV/f.u.

Cell: 2.915 5.459 6.171 Å, 90.00 90.00 90.00°
Fractional positions:
P: 0.500 0.336 0.115
P: 0.000 0.836 0.385
P: 0.000 0.164 0.615
P: 0.500 0.664 0.885
Mo: 0.500 0.500 0.500
Mo: 0.000 0.000 0.000

=====

[3]
VRu2W: relaxed, PBE.

Summary:
- E_tot: -10.09 eV per atom
- Distance to the lowest polymorph of the same formula: 0.66 eV per formula unit
- ρ: 12.40 Mg/m³
- DFT formation energy: 0.06 eV per atom
- DOS at the Fermi energy: 7.1 states/eV/f.u.

Cell: 4.357 4.357 4.357 Å, 60.00 60.00 60.00°
Fractional positions:
W: 0.500 0.500 0.500
V: 0.000 0.000 0.000
Ru: 0.250 0.250 0.250
Ru: 0.750 0.750 0.750

=====

[4]
CsHoTe2Au: relaxed, PBE.

Summary:
- E_form (uncorrected): -872.6 meV per atom
- E_tot: -3.87 eV per atom
- ρ: 6.63 Mg/m³
- DOS at the Fermi energy: 2.3 states/eV/f.u.

Cell: 4.811 9.123 8.585 Å, 94.17 90.00 90.00°
Fractional positions:
Te: 0.617 0.229 0.517
Te: 0.617 0.771 0.983
Te: 0.383 0.771 0.483
Te: 0.383 0.229 0.017
Ho: 0.498 0.000 0.250
Ho: 0.502 0.000 0.750
Cs: 0.084 0.500 0.750
Cs: 0.916 0.500 0.250
Au: 0.000 0.000 0.000
Au: 0.000 0.000 0.500

=====

[5]
LiSc2MnHg: relaxed, PBE.

Summary:
- E_tot: -4.21 eV per atom
- ρ: 4.40 Mg/m³
- DFT formation energy: 0.60 eV per atom
- DOS at the Fermi energy: 6.1 states/eV/f.u.

Cell: 5.346 5.346 4.649 Å, 90.00 90.00 90.00°
Fractional positions:
Mn: 0.500 0.500 0.500
Hg: 0.000 0.000 0.000
Sc: 0.000 0.500 0.000
Sc: 0.500 0.000 0.000
Li: 0.000 0.000 0.500

=====

[6]
ZrNiP2: relaxed, PBE.

Summary:
- E_tot: -6.41 eV per atom
- ρ: 5.81 Mg/m³
- DFT formation energy: -0.12 eV per atom
- DOS at the Fermi energy: 2.7 states/eV/f.u.

Cell: 4.409 4.409 4.409 Å, 60.00 60.00 60.00°
Fractional positions:
Ni: 0.500 0.500 0.500
Zr: 0.750 0.750 0.750
P: 0.250 0.250 0.250
P: 0.000 0.000 0.000

=====

[7]
MoAsSBr2: relaxed, PBE.

Summary:
- E_form (uncorrected): 590.2 meV per atom
- E_tot: -4.00 eV per atom
- Distance to the lowest polymorph of the same formula: 0.00 eV per formula unit
- ρ: 4.92 Mg/m³
- DOS at the Fermi energy: 4.9 states/eV/f.u.

Cell: 4.896 4.896 5.111 Å, 90.00 90.00 90.00°
Fractional positions:
Br: 0.000 0.500 0.000
Br: 0.500 0.000 0.000
Mo: 0.000 0.000 0.000
As: 0.000 0.000 0.500
S: 0.500 0.500 0.500

=====

[8]
UPbBr6: relaxed, PBE.

Summary:
- E_form (uncorrected): -1139.5 meV per atom
- E_tot: -4.27 eV per atom
- ρ: 5.10 Mg/m³
- DOS at the Fermi energy: 4.8 states/eV/f.u.

Cell: 7.232 7.223 7.859 Å, 62.63 62.61 60.02°
Fractional positions:
Br: 0.069 0.402 0.759
Br: 0.770 0.069 0.760
Br: 0.402 0.770 0.759
Br: 0.598 0.230 0.241
Br: 0.931 0.598 0.241
Br: 0.230 0.931 0.240
Pb: 0.500 0.500 0.500
U: 0.000 0.000 0.000

=====

[9]
Ce2TcBi: relaxed, PBE.

Summary:
- E_tot: -6.84 eV per atom
- Distance to the lowest polymorph of the same formula: 0.00 eV per formula unit
- ρ: 9.78 Mg/m³
- DFT formation energy: -0.31 eV per atom
- DOS at the Fermi energy: 6.0 states/eV/f.u.

Cell: 3.374 3.374 8.755 Å, 90.00 90.00 90.00°
Fractional positions:
Ce: 0.000 0.000 0.799
Ce: 0.000 0.000 0.201
Bi: 0.500 0.500 0.500
Tc: 0.500 0.500 0.000

=====

[10]
LiZn2F5: relaxed, PBE.

Summary:
- E_form (uncorrected): -2456.7 meV per atom
- E_tot: -4.18 eV per atom
- ρ: 3.77 Mg/m³
- DOS at the Fermi energy: 0.0 states/eV/f.u.

Cell: 3.949 5.482 10.164 Å, 90.00 90.00 111.11°
Fractional positions:
F: 0.688 0.376 0.934
F: 0.312 0.624 0.434
F: 0.053 0.106 0.384
F: 0.947 0.894 0.616
F: 0.947 0.894 0.884
F: 0.227 0.454 0.750
F: 0.688 0.376 0.566
F: 0.312 0.624 0.066
F: 0.053 0.106 0.116
F: 0.773 0.546 0.250
Zn: 0.136 0.272 0.932
Zn: 0.136 0.272 0.568
Zn: 0.864 0.728 0.068
Zn: 0.864 0.728 0.432
Li: 0.186 0.372 0.250
Li: 0.814 0.628 0.750